(1)
A plane-wave DFT calculation with GGA-PBE was carried out for a relaxed LaPdS2Cl crystal.

Unit cell a=5.5691 b=5.5691 c=5.4599 alpha=90.00 beta=90.00 gamma=90.00
Sites, in units of the cell vectors:
La  0.0000  0.0000  0.0000
Pd  0.5000  0.5000  0.5000
S  0.0000  0.5000  0.0000
S  0.5000  0.0000  0.0000
Cl  0.0000  0.0000  0.5000

ΔE_f (raw): -0.33 eV/atom
density: 3382 kg/m3
crystal system: tetragonal
ΔE to the lowest computed polymorph: 714 meV per atom


(2)
A plane-wave DFT calculation with GGA-PBE was carried out for a relaxed Ac2YHoSe4 crystal.

Unit cell a=7.1992 b=4.1366 c=7.7595 alpha=90.00 beta=107.90 gamma=90.00
Sites, in units of the cell vectors:
Ac  0.0000  0.0000  0.0000
Ac  0.5000  0.5000  0.0000
Y  0.0000  0.5000  0.5000
Ho  0.5000  0.0000  0.5000
Se  0.2408  0.0000  0.7190
Se  0.2625  0.5000  0.2820
Se  0.7375  0.5000  0.7180
Se  0.7592  0.0000  0.2810

ΔE_f (raw): -1.80 eV/atom
density: 7730 kg/m3
crystal system: monoclinic


(3)
A plane-wave DFT calculation with GGA-PBE was carried out for a relaxed CsGa3Mo crystal.

Unit cell a=5.8541 b=5.8541 c=5.8541 alpha=90.00 beta=90.00 gamma=90.00
Sites, in units of the cell vectors:
Cs  0.0000  0.0000  0.0000
Ga  0.0000  0.0000  0.5000
Ga  0.0000  0.5000  0.0000
Ga  0.5000  0.0000  0.0000
Mo  0.5000  0.5000  0.5000

DFT formation energy: 2.025 eV/atom
density: 3625 kg/m3
crystal system: cubic
ΔE to the lowest computed polymorph: 1911 meV per atom


(4)
A plane-wave DFT calculation with GGA-PBE was carried out for a relaxed FePbI2 crystal.

Unit cell a=5.5016 b=5.5016 c=5.5016 alpha=60.00 beta=60.00 gamma=60.00
Sites, in units of the cell vectors:
Fe  0.0000  0.0000  0.0000
Pb  0.5000  0.5000  0.5000
I  0.2500  0.2500  0.2500
I  0.7500  0.7500  0.7500

ΔE_f (raw): 0.48 eV/atom
density: 7289 kg/m3
crystal system: cubic
ΔE to the lowest computed polymorph: 245 meV per atom


(5)
A plane-wave DFT calculation with GGA-PBE was carried out for a relaxed Cs2Hg4Rh crystal.

Unit cell a=10.1213 b=10.1213 c=10.1213 alpha=148.75 beta=148.75 gamma=44.77
Sites, in units of the cell vectors:
Cs  0.1450  0.1450  0.0000
Cs  0.8550  0.8550  0.0000
Hg  0.0000  0.5000  0.5000
Hg  0.3564  0.3564  0.0000
Hg  0.5000  0.0000  0.5000
Hg  0.6436  0.6436  0.0000
Rh  0.5000  0.5000  0.0000

DFT formation energy: -0.197 eV/atom
density: 6992 kg/m3
crystal system: tetragonal


(6)
A plane-wave DFT calculation with GGA-PBE was carried out for a relaxed Th4Te3Se crystal.

Unit cell a=16.0840 b=16.0840 c=16.0840 alpha=14.92 beta=14.92 gamma=14.92
Sites, in units of the cell vectors:
Th  0.1231  0.1231  0.1231
Th  0.3690  0.3690  0.3690
Th  0.6310  0.6310  0.6310
Th  0.8769  0.8769  0.8769
Te  0.2540  0.2540  0.2540
Te  0.5000  0.5000  0.5000
Te  0.7460  0.7460  0.7460
Se  0.0000  0.0000  0.0000

ΔE_f (raw): -1.15 eV/atom
density: 9602 kg/m3
crystal system: trigonal


(7)
A plane-wave DFT calculation with GGA-PBE was carried out for a relaxed ScTi2Br crystal.

Unit cell a=6.1649 b=6.1649 c=6.1649 alpha=100.55 beta=100.55 gamma=129.33
Sites, in units of the cell vectors:
Sc  0.0000  0.0000  0.0000
Sc  0.7500  0.2500  0.5000
Ti  0.1898  0.1250  0.5648
Ti  0.3750  0.8102  0.9352
Ti  0.5602  0.6250  0.4352
Ti  0.8750  0.4398  0.0648
Br  0.2500  0.7500  0.5000
Br  0.5000  0.5000  0.0000

ΔE_f (raw): 0.19 eV/atom
density: 4473 kg/m3
crystal system: tetragonal
ΔE to the lowest computed polymorph: 0 meV per atom


(8)
A plane-wave DFT calculation with GGA-PBE was carried out for a relaxed Li2BeSb crystal.

Unit cell a=4.8160 b=4.8160 c=4.8160 alpha=130.95 beta=127.34 gamma=74.82
Sites, in units of the cell vectors:
Li  0.0000  0.0000  0.0000
Li  0.7359  0.2359  0.5000
Be  0.4691  0.4691  0.0000
Sb  0.2665  0.7665  0.5000

ΔE_f (raw): -0.09 eV/atom
density: 3676 kg/m3
crystal system: orthorhombic
ΔE to the lowest computed polymorph: 41 meV per atom


(9)
A plane-wave DFT calculation with GGA-PBE was carried out for a relaxed AgP2NCl crystal.

Unit cell a=4.8407 b=4.8407 c=4.7583 alpha=90.00 beta=90.00 gamma=90.00
Sites, in units of the cell vectors:
Ag  0.0000  0.0000  0.0000
P  0.0000  0.5000  0.0000
P  0.5000  0.0000  0.0000
N  0.5000  0.5000  0.5000
Cl  0.0000  0.0000  0.5000

ΔE_f (raw): 2.14 eV/atom
density: 3266 kg/m3
crystal system: tetragonal
ΔE to the lowest computed polymorph: 1369 meV per atom


(10)
A plane-wave DFT calculation with GGA-PBE was carried out for a relaxed Rb2ErZn2Te4 crystal.

Unit cell a=8.5172 b=8.5172 c=8.4915 alpha=108.14 beta=108.14 gamma=32.41
Sites, in units of the cell vectors:
Rb  0.1326  0.1326  0.0677
Rb  0.8674  0.8674  0.9323
Er  0.0000  0.0000  0.5000
Zn  0.3267  0.3267  0.5019
Zn  0.6733  0.6733  0.4981
Te  0.2000  0.2000  0.6662
Te  0.4880  0.4880  0.7336
Te  0.5120  0.5120  0.2664
Te  0.8000  0.8000  0.3338

ΔE_f (raw): -0.85 eV/atom
density: 5207 kg/m3
crystal system: monoclinic


(11)
A plane-wave DFT calculation with GGA-PBE was carried out for a relaxed UMnBeRu crystal.

Unit cell a=4.3713 b=4.3713 c=4.3713 alpha=60.00 beta=60.00 gamma=60.00
Sites, in units of the cell vectors:
U  0.0000  0.0000  0.0000
Mn  0.2500  0.2500  0.2500
Be  0.5000  0.5000  0.5000
Ru  0.7500  0.7500  0.7500

DFT formation energy: 0.063 eV/atom
density: 11331 kg/m3
crystal system: cubic


(12)
A plane-wave DFT calculation with GGA-PBE was carried out for a relaxed Pa4RuSe3 crystal.

Unit cell a=7.1539 b=7.1539 c=3.9040 alpha=90.00 beta=90.00 gamma=107.82
Sites, in units of the cell vectors:
Pa  0.2296  0.2296  0.5000
Pa  0.2425  0.7575  0.0000
Pa  0.7575  0.2425  0.0000
Pa  0.7704  0.7704  0.5000
Ru  0.0000  0.0000  0.0000
Se  0.0000  0.5000  0.5000
Se  0.5000  0.0000  0.5000
Se  0.5000  0.5000  0.0000

ΔE_f (raw): -1.01 eV/atom
density: 11018 kg/m3
crystal system: orthorhombic


| no. | volume (Å³ per atom) |
| --- | --- |
| 1 | 33.87 |
| 2 | 27.49 |
| 3 | 40.13 |
| 4 | 29.44 |
| 5 | 39.73 |
| 6 | 30.04 |
| 7 | 20.48 |
| 8 | 16.34 |
| 9 | 22.30 |
| 10 | 34.70 |
| 11 | 14.77 |
| 12 | 23.78 |